Material: TaTl2Ni
Method: DFT, PBE
State: relaxed

Calculated values
E_tot (eV per formula unit): -19.9
Space group: Cmmm
DFT formation energy (kJ/mol of atoms): 58.3

Cell: 5.2001 5.2001 3.0108 Å, 90.00 90.00 107.69°
Atoms (fractional coordinates):
Ta: 0.0000 0.0000 0.0000
Tl: 0.0000 0.5000 0.5000
Tl: 0.5000 0.0000 0.5000
Ni: 0.5000 0.5000 0.0000

Material: TaTl2Ni
Method: DFT, PBE
State: relaxed

Calculated values
E_tot (eV per formula unit): -20.0
Space group: Immm
DFT formation energy (kJ/mol of atoms): 56.3

Cell: 5.6742 5.6742 5.6742 Å, 148.60 124.31 65.34°
Atoms (fractional coordinates):
Ta: 0.0000 0.0000 0.0000
Tl: 0.2757 0.7757 0.5000
Tl: 0.7243 0.2243 0.5000
Ni: 0.5000 0.5000 0.0000

Material: Ta4TlNi
Method: DFT, PBE
State: relaxed

Calculated values
E_tot (eV per formula unit): -51.7
Space group: F-43m
DFT formation energy (kJ/mol of atoms): 62.8

Cell: 5.4717 5.4717 5.4717 Å, 60.00 60.00 60.00°
Atoms (fractional coordinates):
Ta: 0.1248 0.1248 0.1248
Ta: 0.1248 0.1248 0.6256
Ta: 0.1248 0.6256 0.1248
Ta: 0.6256 0.1248 0.1248
Tl: 0.7500 0.7500 0.7500
Ni: 0.5000 0.5000 0.5000

Material: Ta3TlNi
Method: DFT, PBE
State: relaxed

Calculated values
E_tot (eV per formula unit): -39.6
Space group: Pm-3m
DFT formation energy (kJ/mol of atoms): 78.7

Cell: 4.6505 4.6505 4.6505 Å, 90.00 90.00 90.00°
Atoms (fractional coordinates):
Ta: 0.0000 0.0000 0.5000
Ta: 0.0000 0.5000 0.0000
Ta: 0.5000 0.0000 0.0000
Tl: 0.5000 0.5000 0.5000
Ni: 0.0000 0.0000 0.0000

Material: Ta2TlNi
Method: DFT, PBE
State: relaxed

Calculated values
E_tot (eV per formula unit): -30.8
Space group: Pm
DFT formation energy (kJ/mol of atoms): 26.2

Cell: 3.0693 3.8978 6.2466 Å, 90.00 103.76 90.00°
Atoms (fractional coordinates):
Ta: 0.0000 0.0000 0.0000
Ta: 0.3766 0.5000 0.7470
Tl: 0.6326 0.5000 0.2792
Ni: 0.7934 0.0000 0.5708

Material: Ta2TlNi
Method: DFT, PBE
State: relaxed

Calculated values
E_tot (eV per formula unit): -30.6
Space group: P2/m
DFT formation energy (kJ/mol of atoms): 29.6

Cell: 2.9464 3.9369 6.0689 Å, 90.00 94.44 90.00°
Atoms (fractional coordinates):
Ta: 0.0405 0.0000 0.2832
Ta: 0.9595 0.0000 0.7168
Tl: 0.5000 0.5000 0.0000
Ni: 0.5000 0.5000 0.5000

Material: TaTl2Ni
Method: DFT, PBE
State: relaxed

Calculated values
E_tot (eV per formula unit): -20.0
Space group: P4/mmm
DFT formation energy (kJ/mol of atoms): 56.9

Cell: 4.3057 4.3057 4.1005 Å, 90.00 90.00 90.00°
Atoms (fractional coordinates):
Ta: 0.0000 0.0000 0.0000
Tl: 0.0000 0.5000 0.5000
Tl: 0.5000 0.0000 0.5000
Ni: 0.5000 0.5000 0.0000

Material: Ta2TlNi
Method: DFT, PBE
State: relaxed

Calculated values
E_tot (eV per formula unit): -29.5
Space group: I-42d
DFT formation energy (kJ/mol of atoms): 56.2

Cell: 5.8881 5.8881 5.8881 Å, 102.77 102.77 123.91°
Atoms (fractional coordinates):
Ta: 0.0798 0.1250 0.4548
Ta: 0.3750 0.9202 0.0452
Ta: 0.6702 0.6250 0.5452
Ta: 0.8750 0.3298 0.9548
Tl: 0.2500 0.7500 0.5000
Tl: 0.5000 0.5000 0.0000
Ni: 0.0000 0.0000 0.0000
Ni: 0.7500 0.2500 0.5000